Record 1
# AlHg2Au

AlHg2Au after structural relaxation (GGA-PBE, Alexandria via LeMat-Bulk).

abc: 4.9068 3.3085 5.7511
angles: 90.00 111.15 90.00
Closest atoms and distances in Å follow each position.
Positions (direct):
1 Al 0.0000 0.0000 0.0000  2 Au 2.56, 3 Hg 2.73-2.86
2 Hg 0.1176 0.0000 0.5024  1 Al 2.73, 2 Au 3.06
3 Hg 0.5086 0.5000 0.1241  2 Al 2.86, 2 Au 2.97-2.99
4 Au 0.6794 0.5000 0.6780  2 Al 2.56

Results
Its symmetry is Pm, No. 6.

Record 2
# AlHgAu3

AlHgAu3 after structural relaxation (GGA-PBE, Alexandria via LeMat-Bulk).

abc: 4.9427 4.9427 8.3845
angles: 91.87 91.87 105.14
Closest atoms and distances in Å follow each position.
Positions (direct):
1 Al 0.2012 0.7988 0.0000  8 Au 2.61-2.78
2 Al 0.7988 0.2012 0.0000  8 Au 2.61-2.78
3 Hg 0.2415 0.2415 0.4474  5 Au 2.86-2.98, 2 Hg 3.08-3.18
4 Hg 0.7585 0.7585 0.5526  5 Au 2.86-2.98, 2 Hg 3.08-3.18
5 Au 0.0945 0.4555 0.7447  2 Al 2.64-2.78, 2 Au 2.83-2.86, 1 Hg 2.86
6 Au 0.3177 0.3177 0.1091  4 Al 2.61-2.76, 2 Au 2.86, 1 Hg 2.90
7 Au 0.4555 0.0945 0.7447  2 Al 2.64-2.78, 2 Au 2.83-2.86, 1 Hg 2.86
8 Au 0.5445 0.9055 0.2553  2 Al 2.64-2.78, 2 Au 2.83-2.86, 1 Hg 2.86
9 Au 0.6822 0.6822 0.8909  4 Al 2.61-2.76, 2 Au 2.86, 1 Hg 2.90
10 Au 0.9055 0.5445 0.2553  2 Al 2.64-2.78, 2 Au 2.83-2.86, 1 Hg 2.86

Results
Its symmetry is C2/m, No. 12.

Record 3
# AlHg2Au

AlHg2Au after structural relaxation (GGA-PBE, Alexandria via LeMat-Bulk).

abc: 7.9440 7.9440 5.6762
angles: 90.00 90.00 90.00
Closest atoms and distances in Å follow each position.
Positions (direct):
1 Al 0.0000 0.0000 0.0000  4 Hg 2.80, 2 Au 2.84
2 Al 0.0000 0.5000 0.2500  4 Hg 2.80, 2 Au 2.84
3 Al 0.5000 0.0000 0.7500  4 Hg 2.80, 2 Au 2.84
4 Al 0.5000 0.5000 0.5000  4 Hg 2.80, 2 Au 2.84
5 Hg 0.2319 0.2500 0.1250  2 Al 2.80, 2 Hg 2.85, 2 Au 3.00
6 Hg 0.2500 0.7319 0.3750  2 Al 2.80, 2 Hg 2.85, 2 Au 3.00
7 Hg 0.2500 0.7681 0.8750  2 Al 2.80, 2 Hg 2.85, 2 Au 3.00
8 Hg 0.2681 0.2500 0.6250  2 Al 2.80, 2 Hg 2.85, 2 Au 3.00
9 Hg 0.7319 0.7500 0.6250  2 Al 2.80, 2 Hg 2.85, 2 Au 3.00
10 Hg 0.7500 0.2319 0.8750  2 Al 2.80, 2 Hg 2.85, 2 Au 3.00
11 Hg 0.7500 0.2681 0.3750  2 Al 2.80, 2 Hg 2.85, 2 Au 3.00
12 Hg 0.7681 0.7500 0.1250  2 Al 2.80, 2 Hg 2.85, 2 Au 3.00
13 Au 0.0000 0.0000 0.5000  2 Al 2.84, 4 Hg 3.00
14 Au 0.0000 0.5000 0.7500  2 Al 2.84, 4 Hg 3.00
15 Au 0.5000 0.0000 0.2500  2 Al 2.84, 4 Hg 3.00
16 Au 0.5000 0.5000 0.0000  2 Al 2.84, 4 Hg 3.00

Results
Its symmetry is I-42d, No. 122.

Record 4
# AlHgAu2

AlHgAu2 after structural relaxation (GGA-PBE, Alexandria via LeMat-Bulk).

abc: 3.1074 3.1074 7.7208
angles: 90.00 90.00 90.00
Closest atoms and distances in Å follow each position.
Positions (direct):
1 Al 0.0000 0.0000 0.0000  8 Au 2.72
2 Hg 0.0000 0.0000 0.5000  4 Hg 3.11, 8 Au 3.15
3 Au 0.5000 0.5000 0.2083  4 Al 2.72
4 Au 0.5000 0.5000 0.7917  4 Al 2.72

Results
Its symmetry is P4/mmm, No. 123.

Record 5
# Al2HgAu

Al2HgAu after structural relaxation (GGA-PBE, Alexandria via LeMat-Bulk).

abc: 4.2807 4.2807 4.0363
angles: 90.00 90.00 90.00
Closest atoms and distances in Å follow each position.
Positions (direct):
1 Al 0.0000 0.5000 0.0000  4 Hg 2.94, 4 Au 2.94, 4 Al 3.03
2 Al 0.5000 0.0000 0.0000  4 Hg 2.94, 4 Au 2.94, 4 Al 3.03
3 Hg 0.0000 0.0000 0.5000  8 Al 2.94, 4 Au 3.03
4 Au 0.5000 0.5000 0.5000  8 Al 2.94, 4 Hg 3.03

Results
Its symmetry is P4/mmm, No. 123.

Record 6
# AlHgAu

AlHgAu after structural relaxation (GGA-PBE, Alexandria via LeMat-Bulk).

abc: 4.2382 4.2382 9.4102
angles: 90.00 90.00 120.00
Closest atoms and distances in Å follow each position.
Positions (direct):
1 Al 0.3333 0.6667 0.4020  4 Au 2.56-2.60
2 Al 0.6667 0.3333 0.5980  4 Au 2.56-2.60
3 Hg 0.0000 0.0000 0.1482  1 Hg 2.79, 3 Au 2.94
4 Hg 0.0000 0.0000 0.8518  1 Hg 2.79, 3 Au 2.94
5 Au 0.3333 0.6667 0.6780  4 Al 2.56-2.60
6 Au 0.6667 0.3333 0.3220  4 Al 2.56-2.60

Results
Its symmetry is P-3m1, No. 164.

Record 7
# AlHg2Au

AlHg2Au after structural relaxation (GGA-PBE, Alexandria via LeMat-Bulk).

abc: 3.6346 5.1127 9.0205
angles: 90.00 90.00 90.00
Closest atoms and distances in Å follow each position.
Positions (direct):
1 Al 0.0000 0.0000 0.0000  4 Hg 2.87, 4 Al 3.14
2 Al 0.5000 0.5000 0.0000  4 Hg 2.87, 4 Al 3.14
3 Hg 0.0000 0.5000 0.2457  2 Al 2.87, 2 Au 2.93, 4 Hg 3.14
4 Hg 0.0000 0.5000 0.7543  2 Al 2.87, 2 Au 2.93, 4 Hg 3.14
5 Hg 0.5000 0.0000 0.2457  2 Al 2.87, 2 Au 2.93, 4 Hg 3.14
6 Hg 0.5000 0.0000 0.7543  2 Al 2.87, 2 Au 2.93, 4 Hg 3.14
7 Au 0.0000 0.0000 0.5000  4 Hg 2.93, 4 Au 3.14
8 Au 0.5000 0.5000 0.5000  4 Hg 2.93, 4 Au 3.14

Results
Its symmetry is Cmmm, No. 65.

Record 8
# AlHgAu2

AlHgAu2 after structural relaxation (GGA-PBE, Alexandria via LeMat-Bulk).

abc: 3.1742 2.9637 8.4000
angles: 90.00 90.63 90.00
Closest atoms and distances in Å follow each position.
Positions (direct):
1 Al 0.0000 0.0000 0.0000  8 Au 2.72, 2 Al 2.96
2 Hg 0.5000 0.0000 0.5000  4 Au 2.96, 4 Hg 2.96-3.17
3 Au 0.4958 0.5000 0.8054  4 Al 2.72, 2 Hg 2.96, 2 Au 2.96
4 Au 0.5042 0.5000 0.1946  4 Al 2.72, 2 Hg 2.96, 2 Au 2.96

Results
Its symmetry is P2/m, No. 10.

no.,magnetic moment (μB per atom),electronic total energy (eV/atom),ΔH_f (0 K) (meV per atom)
1,0.000,-1.904,2.1
2,0.000,-2.923,-148.0
3,0.000,-1.780,126.0
4,0.000,-2.779,-129.3
5,0.000,-2.718,48.1
6,0.000,-2.550,-109.8
7,0.000,-1.738,167.4
8,0.000,-2.820,-170.0